[1]
# LiMgZn (PBE, relaxed)
data_LiMgZn
_chemical_formula_sum 'Li2 Mg2 Zn2'
_space_group_name_H-M_alt 'P -3 m 1'
_space_group_IT_number 164
_space_group_name_Hall '-P 3 2"'
_cell_length_a 4.6018
_cell_length_b 4.6018
_cell_length_c 5.5929
_cell_angle_alpha 90.00
_cell_angle_beta 90.00
_cell_angle_gamma 120.00
loop_
_atom_site_label
_atom_site_type_symbol
_atom_site_fract_x
_atom_site_fract_y
_atom_site_fract_z
Li1 Li 0.0000 0.0000 0.2245
Mg1 Mg 0.3333 0.6667 0.6179
Zn1 Zn 0.3333 0.6667 0.1036
# Total magnetic moment ... 0.0 μB per cell
# Energy of formation from the pure elements ... -0.10 eV/atom
# Offset from the most stable computed form ... 30 meV per atom



[2]
# HoBr4N2 (PBE, relaxed)
data_HoBr4N2
_chemical_formula_sum 'Ho2 Br8 N4'
_space_group_name_H-M_alt 'C 1 2/m 1'
_space_group_IT_number 12
_space_group_name_Hall '-C 2y'
_cell_length_a 18.531
_cell_length_b 4.116
_cell_length_c 6.928
_cell_angle_alpha 90.00
_cell_angle_beta 91.24
_cell_angle_gamma 90.00
loop_
_atom_site_label
_atom_site_type_symbol
_atom_site_fract_x
_atom_site_fract_y
_atom_site_fract_z
Ho1 Ho 0.000 0.000 0.000
Br1 Br 0.061 0.000 0.375
Br2 Br 0.097 0.500 0.907
N1 N 0.248 0.500 0.259
# ΔE_f (raw) ... 514 meV per atom
# Total magnetic moment ... 14.0 μB per cell



[3]
# KSi2Cl (PBE, relaxed)
data_KSi2Cl
_chemical_formula_sum 'K4 Si8 Cl4'
_space_group_name_H-M_alt 'F -4 3 m'
_space_group_IT_number 216
_space_group_name_Hall 'F -4 2 3'
_cell_length_a 7.003
_cell_length_b 7.003
_cell_length_c 7.003
_cell_angle_alpha 90.00
_cell_angle_beta 90.00
_cell_angle_gamma 90.00
loop_
_atom_site_label
_atom_site_type_symbol
_atom_site_fract_x
_atom_site_fract_y
_atom_site_fract_z
K1 K 0.000 0.000 0.000
Si1 Si 0.000 0.000 0.500
Si2 Si 0.250 0.250 0.750
Cl1 Cl 0.250 0.250 0.250
# ΔE_f (raw) ... 227 meV per atom
# Total magnetic moment ... 0.0 μB per cell
# Offset from the most stable computed form ... 656 meV per atom



[4]
# Tl2SnBiH (PBE, relaxed)
data_Tl2SnBiH
_chemical_formula_sum 'Tl2 Sn1 Bi1 H1'
_space_group_name_H-M_alt 'P 4/m m m'
_space_group_IT_number 123
_space_group_name_Hall '-P 4 2'
_cell_length_a 5.206
_cell_length_b 5.206
_cell_length_c 4.659
_cell_angle_alpha 90.00
_cell_angle_beta 90.00
_cell_angle_gamma 90.00
loop_
_atom_site_label
_atom_site_type_symbol
_atom_site_fract_x
_atom_site_fract_y
_atom_site_fract_z
Tl1 Tl 0.000 0.500 0.000
Sn1 Sn 0.000 0.000 0.500
Bi1 Bi 0.500 0.500 0.500
H1 H 0.000 0.000 0.000
# Total magnetic moment ... 0.0 μB per cell
# Offset from the most stable computed form ... 0 meV per atom



D(E_F): 1.87; 0.54; 4.12; 2.79 (states/eV per cell)